Record 1
22
Lattice="-1.455 -2.224 0.442 6.162 -3.700 -6.540 8.390 -3.523 9.896" Properties=species:S:1:pos:R:3 comment="Ti3Zn7Pd | Alexandria via LeMat-Bulk | PBE | optimized geometry" dos_ef_per_ev_cell=14.7 vol_a3_per_atom=15.84 energy_ev_per_cell=-76.97 m_tot_mub_per_fu=0.00 pbc="T T T"
Ti 5.114 -2.767 2.913
Ti 7.982 -6.679 0.885
Ti 9.179 -5.198 4.066
Ti 3.918 -4.248 -0.268
Ti 1.744 -1.352 -1.062
Ti 11.352 -8.094 4.860
Zn 10.708 -6.552 2.287
Zn 2.388 -2.894 1.511
Zn 8.851 -6.233 -2.220
Zn 4.245 -3.213 6.018
Zn 6.943 -4.346 9.200
Zn 6.153 -5.100 -5.402
Zn 6.946 -4.797 -1.266
Zn 6.150 -4.650 5.064
Zn 6.373 -3.992 0.896
Zn 6.723 -5.454 2.902
Zn 9.621 -6.671 6.320
Zn 3.476 -2.775 -2.522
Zn 5.325 -4.116 -3.178
Zn 7.771 -5.330 6.976
Pd 6.478 -6.515 -3.245
Pd 6.618 -2.931 7.043


Record 2
9
Lattice="7.610 1.543 1.050 3.647 9.389 1.393 3.647 4.743 8.222" Properties=species:S:1:pos:R:3 comment="Cs2K4SiAs2 | Alexandria via LeMat-Bulk | PBE | optimized geometry" dos_ef_per_ev_cell=5.9 vol_a3_per_atom=53.44 m_tot_mub_per_fu=0.00 formation_energy_uncorrected_ev_per_fu=-0.78 pbc="T T T"
Cs 5.671 9.614 6.541
Cs 9.234 6.061 4.124
K 5.184 7.289 2.250
K 9.720 10.906 4.711
K 9.720 8.386 8.415
K 5.184 4.769 5.954
Si 3.805 0.772 0.525
As 1.717 1.416 0.963
As 13.188 14.259 9.701


Record 3
5
Lattice="-4.248 -2.382 0.783 -0.173 -1.257 -4.767 2.501 -4.133 0.999" Properties=species:S:1:pos:R:3 comment="ZrAl3W | Alexandria via LeMat-Bulk | PBE | optimized geometry" de_polymorph_mev_per_atom=1181 dos_ef_per_ev_cell=1.9 vol_a3_per_atom=24.00 m_tot_mub_per_fu=2.80 pbc="T T T"
Zr 0.000 0.000 0.000
W -0.960 -3.886 -1.492
Al -0.087 -0.629 -2.383
Al 1.251 -2.066 0.500
Al -2.124 -1.191 0.391


Record 4
8
Lattice="-1.614 1.950 3.045 1.201 -5.414 4.104 5.352 4.184 0.157" Properties=species:S:1:pos:R:3 comment="NdPu2HfP4 | Alexandria via LeMat-Bulk | PBE | optimized geometry" dos_ef_per_ev_cell=17.9 vol_a3_per_atom=21.89 energy_ev_per_cell=-75.25 m_tot_mub_per_fu=10.15 pbc="T T T"
Nd -0.206 -1.732 3.575
Pu 1.869 3.067 1.601
Pu 3.277 -0.615 2.131
Hf 0.000 0.000 0.000
P 0.766 0.734 2.511
P 4.173 -0.014 4.795
P 4.275 1.870 1.068
P 2.278 -3.101 3.193


Record 5
12
Lattice="-3.077 0.119 -5.756 4.382 -4.670 1.264 -5.226 -2.301 3.984" Properties=species:S:1:pos:R:3 comment="Na3LiHf2S6 | Alexandria via LeMat-Bulk | PBE | optimized geometry" dos_ef_per_ev_cell=0.0 vol_a3_per_atom=20.33 m_tot_mub_per_fu=0.00 formation_energy_uncorrected_ev_per_fu=-17.91 pbc="T T T"
Na 0.564 -5.047 2.122
Na -4.486 -1.804 -2.630
Na -1.961 -3.426 -0.254
Li 0.000 0.000 0.000
Hf 1.902 -3.078 -1.069
Hf -0.598 -1.473 -3.422
S -4.416 -4.390 -1.487
S -0.186 -3.786 -2.385
S 0.495 -2.461 0.979
S -1.808 -6.065 0.968
S -3.735 -3.065 1.877
S -2.113 -0.786 -1.476


Record 6
10
Lattice="-0.470 3.915 -0.039 -3.845 -0.454 0.750 3.716 0.639 19.435" Properties=species:S:1:pos:R:3 comment="BaSr4Zn5 | Alexandria via LeMat-Bulk | PBE | optimized geometry" dos_ef_per_ev_cell=6.9 vol_a3_per_atom=30.79 energy_ev_per_cell=-16.76 m_tot_mub_per_fu=0.00 pbc="T T T"
Ba 0.000 0.000 0.000
Sr 0.765 0.131 3.999
Sr 1.493 0.257 7.806
Sr 2.224 0.382 11.629
Sr 2.952 0.507 15.436
Zn -1.753 1.800 2.473
Zn -1.029 1.924 6.257
Zn -0.299 2.050 10.073
Zn 0.430 2.175 13.889
Zn 1.154 2.300 17.674


Record 7
5
Lattice="-0.503 2.905 -3.538 -3.768 1.759 1.980 2.569 3.073 2.158" Properties=species:S:1:pos:R:3 comment="TiPS2Cl | Alexandria via LeMat-Bulk | PBE | optimized geometry" de_polymorph_mev_per_atom=344 dos_ef_per_ev_cell=7.4 vol_a3_per_atom=19.30 m_tot_mub_per_fu=0.06 formation_energy_uncorrected_ev_per_fu=1.46 pbc="T T T"
P 0.000 0.000 0.000
S -1.884 0.879 0.990
S -0.252 1.453 -1.769
Cl 1.284 1.537 1.079
Ti -0.851 3.868 0.300


Record 8
11
Lattice="-2.275 4.783 -1.733 -5.470 -0.221 6.568 9.026 1.775 2.010" Properties=species:S:1:pos:R:3 comment="Pr8SmSc2 | Alexandria via LeMat-Bulk | PBE | optimized geometry" de_polymorph_mev_per_atom=0 dos_ef_per_ev_cell=17.1 vol_a3_per_atom=34.28 m_tot_mub_per_fu=0.00 pbc="T T T"
Pr -3.486 3.412 5.030
Pr 2.553 2.836 4.474
Pr 1.651 1.300 1.419
Pr 5.103 6.491 2.255
Pr -0.370 5.037 5.426
Pr -1.271 3.501 2.371
Pr 4.767 2.925 1.815
Pr -3.822 -0.154 4.590
Sm -1.137 2.391 -0.867
Sc -0.665 1.518 5.062
Sc 1.947 4.819 1.783


Record 9
9
Lattice="-4.707 4.707 2.121 4.707 -4.707 2.121 4.707 4.707 -2.121" Properties=species:S:1:pos:R:3 comment="Hg5Au4 | Alexandria via LeMat-Bulk | PBE | optimized geometry" dos_ef_per_ev_cell=2.1 vol_a3_per_atom=20.88 energy_ev_per_cell=-13.41 m_tot_mub_per_fu=0.00 pbc="T T T"
Hg 0.000 0.000 0.000
Hg 3.112 3.112 0.000
Hg 1.594 -1.594 2.121
Hg -1.594 1.594 2.121
Hg 1.594 1.594 2.121
Au 3.226 0.000 0.000
Au 6.187 0.000 0.000
Au 0.000 3.226 0.000
Au 0.000 6.187 0.000


Record 10
4
Lattice="-1.666 4.098 -0.731 -3.751 2.403 0.508 1.983 2.797 7.164" Properties=species:S:1:pos:R:3 comment="KTa2Rh | Alexandria via LeMat-Bulk | PBE | optimized geometry" de_polymorph_mev_per_atom=294 dos_ef_per_ev_cell=4.2 vol_a3_per_atom=24.76 m_tot_mub_per_fu=0.00 pbc="T T T"
K -1.793 4.632 3.318
Rh -1.141 2.157 1.032
Ta 0.050 0.083 0.198
Ta -2.267 7.075 5.864


Record 11
8
Lattice="-1.507 -3.709 -3.440 4.724 0.253 -2.341 3.406 -5.449 0.334" Properties=species:S:1:pos:R:3 comment="BeNiSe2 | Alexandria via LeMat-Bulk | PBE | optimized geometry" dos_ef_per_ev_cell=5.7 vol_a3_per_atom=18.25 m_tot_mub_per_fu=0.00 formation_energy_uncorrected_ev_per_fu=-1.58 pbc="T T T"
Ni 0.000 0.000 0.000
Ni 1.754 -5.443 -2.999
Se 0.522 -3.595 -2.310
Se 3.594 -1.721 -1.860
Se 3.829 -5.379 -1.952
Se 5.301 -7.114 -4.775
Be 1.609 -1.728 -2.891
Be 4.869 -3.462 -2.449


Record 12
12
Lattice="7.749 0.000 0.000 -3.873 6.712 0.000 -1.293 -2.239 7.393" Properties=species:S:1:pos:R:3 comment="La3HoPu2Te6 | Alexandria via LeMat-Bulk | PBE | optimized geometry" dos_ef_per_ev_cell=24.6 vol_a3_per_atom=32.04 m_tot_mub_per_fu=12.06 formation_energy_uncorrected_ev_per_fu=-16.53 pbc="T T T"
La -2.553 4.457 3.696
La 5.136 0.016 3.696
La 1.292 2.236 3.696
Ho 0.000 0.000 0.000
Pu 0.008 4.471 0.000
Pu 3.868 2.241 0.000
Te 3.860 2.264 5.651
Te 2.601 4.503 1.769
Te -1.277 2.209 1.742
Te 0.032 4.475 5.651
Te -0.018 -0.031 5.624
Te 2.551 -0.002 1.742